Record 1
A relaxed AcGa4Pd2Ru crystal, computed with PBE-GGA.

Unit cell a=9.6871 b=9.6871 c=9.6871 alpha=25.69 beta=25.69 gamma=25.69
With the nearest neighbours (Å) after each atom.
Fractional positions:
1 Ac 0.0000 0.0000 0.0000  6 Ga 3.23
2 Ga 0.1355 0.1355 0.1355  3 Ru 2.64, 4 Pd 2.66-2.69
3 Ga 0.4070 0.4070 0.4070  3 Pd 2.61, 1 Ru 2.61
4 Ga 0.5930 0.5930 0.5930  3 Pd 2.61, 1 Ru 2.61
5 Ga 0.8645 0.8645 0.8645  3 Ru 2.64, 4 Pd 2.66-2.69
6 Pd 0.2314 0.2314 0.2314  7 Ga 2.61-2.69
7 Pd 0.7686 0.7686 0.7686  7 Ga 2.61-2.69
8 Ru 0.5000 0.5000 0.5000  8 Ga 2.61-2.64

Its density is 9.05 Mg/m³. The value obtained for the density of states at the Fermi level is 4.23 states/eV/cell. The formation enthalpy at 0 K is -4.7 eV per formula unit. As for the crystal system: trigonal.

Record 2
A relaxed La6Pr3In crystal, computed with PBE-GGA.

Unit cell a=12.4760 b=3.7102 c=15.6643 alpha=90.00 beta=99.29 gamma=90.00
With the nearest neighbours (Å) after each atom.
Fractional positions:
1 La 0.0716 0.2500 0.4016  3 In 3.41-3.43, 2 La 3.71
2 La 0.1149 0.7500 0.9633  4 Pr 3.51-3.65, 6 La 3.71-3.76
3 La 0.1804 0.2500 0.7536  2 In 3.40, 1 Pr 3.57, 2 La 3.71
4 La 0.3194 0.2500 0.1228  6 Pr 3.53-3.89, 6 La 3.71-3.79
5 La 0.3186 0.7500 0.3338  3 Pr 3.41-3.79, 7 La 3.63-3.79
6 La 0.4018 0.2500 0.5326  2 In 3.32, 6 La 3.36-3.71, 2 Pr 3.50
7 La 0.5982 0.7500 0.4674  2 In 3.32, 6 La 3.36-3.71, 2 Pr 3.50
8 La 0.6814 0.2500 0.6662  3 Pr 3.41-3.79, 7 La 3.63-3.79
9 La 0.6806 0.7500 0.8772  6 Pr 3.53-3.89, 6 La 3.71-3.79
10 La 0.8196 0.7500 0.2464  2 In 3.40, 1 Pr 3.57, 2 La 3.71
11 La 0.8851 0.2500 0.0367  4 Pr 3.51-3.65, 6 La 3.71-3.76
12 La 0.9284 0.7500 0.5984  3 In 3.41-3.43, 2 La 3.71
13 Pr 0.0843 0.7500 0.1881  7 La 3.41-3.75, 2 Pr 3.71
14 Pr 0.3870 0.7500 0.9317  5 Pr 3.41-3.74, 3 La 3.51-3.73
15 Pr 0.4388 0.7500 0.7245  3 Pr 3.41-3.71, 7 La 3.50-3.81, 1 In 3.53
16 Pr 0.5612 0.2500 0.2755  3 Pr 3.41-3.71, 7 La 3.50-3.81, 1 In 3.53
17 Pr 0.6130 0.2500 0.0683  5 Pr 3.41-3.74, 3 La 3.51-3.73
18 Pr 0.9157 0.2500 0.8119  7 La 3.41-3.75, 2 Pr 3.71
19 In 0.1955 0.7500 0.5743  7 La 3.32-3.43, 1 Pr 3.53, 2 In 3.71
20 In 0.8045 0.2500 0.4257  7 La 3.32-3.43, 1 Pr 3.53, 2 In 3.71

Its density is 6.36 Mg/m³. The value obtained for the density of states at the Fermi level is 30.69 states/eV/cell. The formation enthalpy at 0 K is -0.4 eV per formula unit. The calculation puts the energy above the most stable polymorph in this dataset at 0 meV per atom. As for the crystal system: monoclinic.

Record 3
A relaxed CaYPd2 crystal, computed with PBE-GGA.

Unit cell a=6.2745 b=6.2745 c=6.2745 alpha=105.14 beta=105.14 gamma=118.52
With the nearest neighbours (Å) after each atom.
Fractional positions:
1 Ca 0.0000 0.0000 0.0000  4 Pd 2.85
2 Ca 0.7500 0.2500 0.5000  4 Pd 2.85
3 Y 0.2500 0.7500 0.5000  4 Pd 2.78
4 Y 0.5000 0.5000 0.0000  4 Pd 2.78
5 Pd 0.1318 0.6250 0.0068  2 Y 2.78, 2 Ca 2.85
6 Pd 0.3750 0.3818 0.5068  2 Y 2.78, 2 Ca 2.85
7 Pd 0.6182 0.1250 0.9932  2 Y 2.78, 2 Ca 2.85
8 Pd 0.8750 0.8682 0.4932  2 Y 2.78, 2 Ca 2.85

Its density is 6.09 Mg/m³. The value obtained for the density of states at the Fermi level is 3.59 states/eV/cell. The formation enthalpy at 0 K is -1.8 eV per formula unit. As for the crystal system: tetragonal.